[1]
VASP calculation (GGA-PBE) on a relaxed MnTlCo4 crystal.

For the uncorrected energy, the calculation gives -38.5 eV for the cell shown. The value obtained for the calculated formation energy is 0.251 eV per atom. The density of states at the Fermi level comes out at 1.187 states/eV per atom.

Cell: 4.8459 4.8459 4.8459 Å, 60.00 60.00 60.00°
Closest atoms and distances in Å follow each position.
Fractional positions:
Co 0.3757 0.8730 0.3757  6 Co 2.41-2.44
Co 0.8730 0.3757 0.3757  6 Co 2.41-2.44
Co 0.3757 0.3757 0.8730  6 Co 2.41-2.44
Co 0.3757 0.3757 0.3757  6 Co 2.41-2.44
Tl 0.0000 0.0000 0.0000  12 Co 2.84, 4 Mn 2.97
Mn 0.7500 0.7500 0.7500  12 Co 2.84, 4 Tl 2.97

***

[2]
VASP calculation (GGA-PBE) on a relaxed MnTlCo crystal.

The value obtained for the offset from the most stable computed form is 0.199 eV per atom. For the uncorrected energy, the calculation gives -17.0 eV for the cell shown. The value obtained for the calculated formation energy is 0.548 eV per atom. The density of states at the Fermi level comes out at 0.917 states/eV per atom.

Cell: 3.0522 3.0522 6.3137 Å, 90.00 90.00 120.00°
Closest atoms and distances in Å follow each position.
Fractional positions:
Mn 0.6667 0.3333 0.2973  3 Co 2.46
Co 0.0000 0.0000 0.0265  3 Mn 2.46
Tl 0.3333 0.6667 0.6763  3 Co 2.83, 3 Mn 2.97, 6 Tl 3.05